(1)
Hf3CrSe8: relaxed, PBE.

abc: 7.334 7.350 8.318
angles: 116.86 90.00 119.93
Element x y z (fractional)
Hf: 0.500 0.000 0.000
Se: 0.745 0.490 0.230
Hf: 0.000 0.500 0.000
Cr: 0.000 0.000 0.000
Se: 0.765 0.529 0.779
Se: 0.235 0.990 0.221
Se: 0.235 0.471 0.221
Se: 0.245 0.010 0.779
Hf: 0.500 0.500 0.000
Se: 0.755 0.990 0.221
Se: 0.765 0.010 0.779
Se: 0.255 0.510 0.770

Computed properties:
SG: No. 12
electronic total energy: -80.56 eV/cell
DOS at the Fermi energy: 4.3 states/eV/f.u.
uncorrected formation energy: -1.100 eV per atom
total magnetization: 2.55 μB/cell

=====

(2)
HfCrSe: relaxed, PBE.

abc: 4.050 4.050 11.726
angles: 59.14 59.14 59.98
Element x y z (fractional)
Se: 0.234 0.234 0.467
Cr: 0.510 0.510 0.187
Se: 0.520 0.520 0.841
Cr: 0.243 0.243 0.121
Hf: 0.049 0.049 0.980
Hf: 0.705 0.705 0.327

Computed properties:
SG: No. 12
electronic total energy: -49.17 eV/cell
DOS at the Fermi energy: 1.3 states/eV/f.u.
uncorrected formation energy: -0.507 eV per atom
total magnetization: 0.00 μB/cell

=====

(3)
HfCr2Se: relaxed, PBE.

abc: 7.345 7.345 5.850
angles: 51.12 51.12 90.00
Element x y z (fractional)
Se: 0.250 0.750 0.500
Cr: 0.375 0.428 0.750
Cr: 0.875 0.822 0.750
Hf: 0.750 0.250 0.500
Se: 0.500 0.500 0.000
Cr: 0.572 0.125 0.250
Hf: 0.000 0.000 0.000
Cr: 0.178 0.625 0.250

Computed properties:
SG: No. 122
electronic total energy: -62.45 eV/cell
DOS at the Fermi energy: 3.1 states/eV/f.u.
uncorrected formation energy: 0.365 eV per atom
total magnetization: 11.88 μB/cell

=====

(4)
HfCrSe3: relaxed, PBE.

abc: 4.782 4.782 4.782
angles: 90.00 90.00 90.00
Element x y z (fractional)
Cr: 0.000 0.000 0.000
Se: 0.000 0.500 0.000
Se: 0.000 0.000 0.500
Se: 0.500 0.000 0.000
Hf: 0.500 0.500 0.500

Computed properties:
SG: No. 221
polymorph energy (0 for the lowest one): 232.1 meV per atom
electronic total energy: -29.72 eV/cell
DOS at the Fermi energy: 3.4 states/eV/f.u.
uncorrected formation energy: 0.062 eV per atom
total magnetization: 3.87 μB/cell

=====

> Look up the electronic total energy of the fourth one.

-29.72 eV/cell

=====

> Look up the electronic total energy of the first one.

-80.56 eV/cell

=====

> What is the formula in the third record?

HfCr2Se